A geometry-optimized Si2AuCN structure, computed with PBE-GGA.

Properties
- Raw formation energy: 1.690 eV/atom

Geometry as POSCAR:
```
Si2AuCN
1.0
3.984 0.000 0.000
0.000 3.984 0.000
0.000 0.000 4.291
Si Au C N
2 1 1 1
Direct
0.000 0.500 0.000
0.500 0.000 0.000
0.000 0.000 0.500
0.000 0.000 0.000
0.500 0.500 0.500
```

A geometry-optimized TcAu2CN structure, computed with PBE-GGA.

Properties
- Raw formation energy: 2.249 eV/atom

Geometry as POSCAR:
```
TcAu2CN
1.0
5.168 0.000 0.000
0.000 5.168 0.000
0.000 0.000 3.825
Tc Au C N
1 2 1 1
Direct
0.000 0.000 0.000
0.000 0.500 0.000
0.500 0.000 0.000
0.000 0.000 0.500
0.500 0.500 0.500
```

A geometry-optimized Th6Au3C2N structure, computed with PBE-GGA.

Properties
- Raw formation energy: -0.594 eV/atom

Geometry as POSCAR:
```
Th6Au3C2N
1.0
3.260 -5.649 0.000
3.260 5.649 0.000
-2.165 0.000 7.470
Th Au C N
6 3 2 1
Direct
0.101 0.436 0.805
0.230 0.230 0.186
0.436 0.101 0.805
0.564 0.899 0.195
0.770 0.770 0.814
0.899 0.564 0.195
0.000 0.000 0.500
0.340 0.660 0.500
0.660 0.340 0.500
0.170 0.830 0.000
0.830 0.170 0.000
0.500 0.500 0.000
```

A geometry-optimized Zr2AuCN structure, computed with PBE-GGA.

Properties
- Raw formation energy: 0.225 eV/atom

Geometry as POSCAR:
```
Zr2AuCN
1.0
4.539 0.000 0.000
0.000 4.539 0.000
0.000 0.000 3.626
Zr Au C N
2 1 1 1
Direct
0.000 0.500 0.000
0.500 0.000 0.000
0.000 0.000 0.500
0.500 0.500 0.500
0.500 0.500 0.000
```

A geometry-optimized NaAuC2 structure, computed with PBE-GGA.

Properties
- Energy of formation from the pure elements: 7.59 eV/f.u.

Geometry as POSCAR:
```
NaAuC2
1.0
5.791 0.000 0.000
0.000 5.791 0.000
0.000 0.000 8.554
Na Au C
4 4 8
Direct
0.000 0.000 0.000
0.000 0.500 0.250
0.500 0.000 0.750
0.500 0.500 0.500
0.000 0.000 0.500
0.000 0.500 0.750
0.500 0.000 0.250
0.500 0.500 0.000
0.165 0.250 0.625
0.250 0.665 0.875
0.250 0.835 0.375
0.335 0.250 0.125
0.665 0.750 0.125
0.750 0.165 0.375
0.750 0.335 0.875
0.835 0.750 0.625
```

A geometry-optimized Na3AuC structure, computed with PBE-GGA.

Properties
- Energy of formation from the pure elements: 3.56 eV/f.u.

Geometry as POSCAR:
```
Na3AuC
1.0
4.897 0.000 0.000
0.000 4.897 0.000
0.000 0.000 4.897
Na Au C
3 1 1
Direct
0.000 0.000 0.500
0.000 0.500 0.000
0.500 0.000 0.000
0.500 0.500 0.500
0.000 0.000 0.000
```

A geometry-optimized NaAuC2 structure, computed with PBE-GGA.

Properties
- Energy of formation from the pure elements: 8.08 eV/f.u.

Geometry as POSCAR:
```
NaAuC2
1.0
5.717 0.000 0.000
0.000 5.717 0.000
0.000 0.000 5.717
Na Au C
4 4 8
Direct
0.000 0.000 0.000
0.000 0.500 0.500
0.500 0.000 0.500
0.500 0.500 0.000
0.000 0.000 0.500
0.000 0.500 0.000
0.500 0.000 0.000
0.500 0.500 0.500
0.250 0.250 0.250
0.250 0.250 0.750
0.250 0.750 0.250
0.250 0.750 0.750
0.750 0.250 0.250
0.750 0.250 0.750
0.750 0.750 0.250
0.750 0.750 0.750
```

A geometry-optimized Na2Au2C structure, computed with PBE-GGA.

Properties
- Energy of formation from the pure elements: 2.51 eV/f.u.

Geometry as POSCAR:
```
Na2Au2C
1.0
6.088 0.000 0.000
0.000 6.088 0.000
0.000 0.000 5.305
Na Au C
4 4 2
Direct
0.165 0.335 0.000
0.335 0.835 0.000
0.665 0.165 0.000
0.835 0.665 0.000
0.230 0.730 0.500
0.270 0.230 0.500
0.730 0.770 0.500
0.770 0.270 0.500
0.000 0.000 0.500
0.500 0.500 0.500
```

A geometry-optimized NaAuC3 structure, computed with PBE-GGA.

Properties
- Energy of formation from the pure elements: 19.00 eV/f.u.

Geometry as POSCAR:
```
NaAuC3
1.0
4.185 0.000 0.000
0.000 4.185 0.000
0.000 0.000 4.185
Na Au C
1 1 3
Direct
0.000 0.000 0.000
0.500 0.500 0.500
0.000 0.000 0.500
0.000 0.500 0.000
0.500 0.000 0.000
```

A geometry-optimized Na2Au2C structure, computed with PBE-GGA.

Properties
- Energy of formation from the pure elements: 6.93 eV/f.u.

Geometry as POSCAR:
```
Na2Au2C
1.0
3.622 0.000 0.000
0.000 3.622 0.000
0.000 0.000 14.451
Na Au C
4 4 2
Direct
0.000 0.500 0.250
0.000 0.500 0.750
0.500 0.000 0.250
0.500 0.000 0.750
0.000 0.000 0.092
0.000 0.000 0.908
0.500 0.500 0.408
0.500 0.500 0.592
0.000 0.000 0.500
0.500 0.500 0.000
```

A geometry-optimized NaAu2C structure, computed with PBE-GGA.

Properties
- Energy of formation from the pure elements: 2.07 eV/f.u.

Geometry as POSCAR:
```
NaAu2C
1.0
5.418 0.000 0.000
0.000 5.418 0.000
0.000 0.000 12.586
Na Au C
4 8 4
Direct
0.000 0.250 0.375
0.000 0.750 0.625
0.500 0.250 0.125
0.500 0.750 0.875
0.000 0.000 0.000
0.000 0.500 0.000
0.250 0.250 0.750
0.250 0.750 0.250
0.500 0.000 0.500
0.500 0.500 0.500
0.750 0.250 0.750
0.750 0.750 0.250
0.000 0.250 0.875
0.000 0.750 0.125
0.500 0.250 0.625
0.500 0.750 0.375
```

A geometry-optimized NaAuC2 structure, computed with PBE-GGA.

Properties
- Energy of formation from the pure elements: 1.02 eV/f.u.

Geometry as POSCAR:
```
NaAuC2
1.0
3.807 0.000 0.000
0.000 3.807 0.000
0.000 0.000 5.247
Na Au C
1 1 2
Direct
0.000 0.000 0.000
0.500 0.500 0.500
0.500 0.500 0.119
0.500 0.500 0.881
```

A geometry-optimized NaAuC3 structure, computed with PBE-GGA.

Properties
- Energy of formation from the pure elements: 14.15 eV/f.u.

Geometry as POSCAR:
```
NaAuC3
1.0
4.231 0.000 0.000
0.000 4.231 0.000
0.000 0.000 4.231
Na Au C
1 1 3
Direct
0.000 0.000 0.000
0.500 0.500 0.500
0.000 0.500 0.500
0.500 0.000 0.500
0.500 0.500 0.000
```

A geometry-optimized NaPdAu2C structure, computed with PBE-GGA.

Properties
- Energy of formation from the pure elements: 11.11 eV/f.u.

Geometry as POSCAR:
```
NaPdAu2C
1.0
4.914 0.000 0.000
0.000 4.914 0.000
0.000 0.000 4.740
Na Pd Au C
1 1 2 1
Direct
0.000 0.000 0.000
0.000 0.000 0.500
0.000 0.500 0.000
0.500 0.000 0.000
0.500 0.500 0.500
```

A geometry-optimized NaSiAuC2 structure, computed with PBE-GGA.

Properties
- Raw formation energy: 2.119 eV/atom

Geometry as POSCAR:
```
NaSiAuC2
1.0
4.094 0.000 0.000
0.000 4.094 0.000
0.000 0.000 5.431
Na Si Au C
1 1 1 2
Direct
0.000 0.000 0.000
0.500 0.500 0.000
0.500 0.500 0.500
0.000 0.500 0.500
0.500 0.000 0.500
```

A geometry-optimized NaSnAuC2 structure, computed with PBE-GGA.

Properties
- Energy of formation from the pure elements: 13.52 eV/f.u.

Geometry as POSCAR:
```
NaSnAuC2
1.0
4.320 0.000 0.000
0.000 4.320 0.000
0.000 0.000 5.376
Na Sn Au C
1 1 1 2
Direct
0.000 0.000 0.000
0.000 0.000 0.500
0.500 0.500 0.500
0.000 0.500 0.000
0.500 0.000 0.000
```

A geometry-optimized NaZrAu2C structure, computed with PBE-GGA.

Properties
- Energy of formation from the pure elements: 7.46 eV/f.u.

Geometry as POSCAR:
```
NaZrAu2C
1.0
4.807 0.000 0.000
0.000 4.807 0.000
0.000 0.000 4.235
Na Zr Au C
1 1 2 1
Direct
0.000 0.000 0.000
0.500 0.500 0.500
0.000 0.500 0.000
0.500 0.000 0.000
0.000 0.000 0.500
```

A geometry-optimized NbAuC3 structure, computed with PBE-GGA.

Properties
- Energy of formation from the pure elements: 14.06 eV/f.u.

Geometry as POSCAR:
```
NbAuC3
1.0
4.028 0.000 0.000
0.000 4.028 0.000
0.000 0.000 4.028
Nb Au C
1 1 3
Direct
0.000 0.000 0.000
0.500 0.500 0.500
0.000 0.500 0.500
0.500 0.000 0.500
0.500 0.500 0.000
```

A geometry-optimized Nb3AuC structure, computed with PBE-GGA.

Properties
- Energy of formation from the pure elements: -1.62 eV/f.u.

Geometry as POSCAR:
```
Nb3AuC
1.0
1.591 -5.646 0.000
1.591 5.646 0.000
0.000 0.000 8.854
Nb Au C
6 2 2
Direct
0.031 0.969 0.750
0.374 0.626 0.538
0.374 0.626 0.962
0.626 0.374 0.038
0.626 0.374 0.462
0.969 0.031 0.250
0.255 0.745 0.250
0.745 0.255 0.750
0.000 0.000 0.000
0.000 0.000 0.500
```

A geometry-optimized NbAuC3 structure, computed with PBE-GGA.

Properties
- Energy of formation from the pure elements: 11.03 eV/f.u.

Geometry as POSCAR:
```
NbAuC3
1.0
4.223 0.000 0.000
0.000 4.223 0.000
0.000 0.000 4.223
Nb Au C
1 1 3
Direct
0.000 0.000 0.000
0.500 0.500 0.500
0.000 0.000 0.500
0.000 0.500 0.000
0.500 0.000 0.000
```

| no. | raw total energy (eV per atom) | N(E_F) (states/eV/atom) | spin magnetization (μB/f.u.) |
| --- | --- | --- | --- |
| 1 | -4.6444 | 0.30 | 0.0 |
| 2 | -4.6445 | 0.58 | 2.7 |
| 3 | -7.3543 | 0.98 | 0.0 |
| 4 | -7.3591 | 0.47 | 0.0 |
| 5 | -3.8630 | 0.55 | 0.0 |
| 6 | -2.5789 | 0.37 | 2.0 |
| 7 | -3.7421 | 0.25 | 0.0 |
| 8 | -3.1810 | 0.13 | 0.0 |
| 9 | -2.6544 | 0.46 | 0.0 |
| 10 | -2.2983 | 0.44 | 0.0 |
| 11 | -3.7563 | 0.36 | 0.0 |
| 12 | -5.5066 | 0.00 | 0.0 |
| 13 | -3.6234 | 0.48 | 0.0 |
| 14 | -2.2353 | 0.51 | 1.2 |
| 15 | -3.5747 | 0.42 | 0.0 |
| 16 | -2.7059 | 0.79 | 1.2 |
| 17 | -3.6367 | 0.97 | 0.7 |
| 18 | -5.3912 | 0.66 | 0.0 |
| 19 | -8.8654 | 0.74 | 0.0 |
| 20 | -5.9968 | 0.44 | 0.0 |